No. 1
Entry from Alexandria: a geometry-optimized YP2CO structure (PBE).

As for the energy above the most stable polymorph in this dataset: 716 kJ/mol of formula units. The uncorrected formation energy is 1.426 eV/atom. For the size of the total moment, the calculation gives 0.2 μB per formula unit. For the calculated total energy, the calculation gives -24.3 eV/cell.

It has space group P4/mmm (No. 123), with a = 5.416 Å, b = 5.416 Å, c = 4.114 Å, α = 90.00°, β = 90.00° and γ = 90.00°. The distinct sites, in fractional coordinates, are Y at (0.000, 0.000, 0.000), P at (0.000, 0.500, 0.000), C at (0.500, 0.500, 0.500) and O at (0.000, 0.000, 0.500).


No. 2
Entry from Alexandria: a geometry-optimized Na2PuMoN4 structure (PBE).

The uncorrected formation energy is -0.551 eV/atom. For the size of the total moment, the calculation gives 3.8 μB per formula unit. For the calculated total energy, the calculation gives -65.5 eV/cell.

It has space group P2/m (No. 10), with a = 5.601 Å, b = 3.248 Å, c = 5.967 Å, α = 90.00°, β = 107.50° and γ = 90.00°. The distinct sites, in fractional coordinates, are Na at (0.000, 0.000, 0.000), Na at (0.500, 0.500, 0.000), Pu at (0.000, 0.500, 0.500), Mo at (0.500, 0.000, 0.500), N at (0.251, 0.000, 0.693) and N at (0.276, 0.500, 0.308).


No. 3
Entry from Alexandria: a geometry-optimized Ce2PmCoHg structure (PBE).

As for the formation energy: -0.164 eV/atom. For the size of the total moment, the calculation gives 0.8 μB per formula unit. For the calculated total energy, the calculation gives -24.8 eV/cell.

It has space group P4/mmm (No. 123), with a = 4.939 Å, b = 4.939 Å, c = 5.627 Å, α = 90.00°, β = 90.00° and γ = 90.00°. The distinct sites, in fractional coordinates, are Ce at (0.000, 0.500, 0.000), Pm at (0.000, 0.000, 0.500), Co at (0.000, 0.000, 0.000) and Hg at (0.500, 0.500, 0.500).


No. 4
Entry from Alexandria: a geometry-optimized Tc5Rh3 structure (PBE).

As for the formation energy: -0.054 eV/atom. As for the energy above the most stable polymorph in this dataset: 0 kJ/mol of formula units. For the size of the total moment, the calculation gives 0.0 μB per formula unit. For the calculated total energy, the calculation gives -148.6 eV/cell.

It has space group Cmmm (No. 65), with a = 7.656 Å, b = 7.777 Å, c = 3.856 Å, α = 90.00°, β = 90.00° and γ = 90.00°. The distinct sites, in fractional coordinates, are Tc at (0.000, 0.000, 0.000), Tc at (0.000, 0.248, 0.500), Tc at (0.250, 0.250, 0.000), Rh at (0.000, 0.500, 0.000) and Rh at (0.248, 0.500, 0.500).


No. 5
Entry from Alexandria: a geometry-optimized Ac8Ge4Br3 structure (PBE).

The uncorrected formation energy is -0.954 eV/atom. For the size of the total moment, the calculation gives 0.0 μB per formula unit. For the calculated total energy, the calculation gives -141.3 eV/cell.

It has space group C2/m (No. 12), with a = 12.834 Å, b = 12.932 Å, c = 9.032 Å, α = 90.00°, β = 134.43° and γ = 90.00°. The distinct sites, in fractional coordinates, are Ac at (0.000, 0.240, 0.000), Ac at (0.000, 0.255, 0.500), Ac at (0.243, 0.000, 0.486), Ac at (0.248, 0.000, 0.016), Ge at (0.000, 0.000, 0.000), Ge at (0.000, 0.500, 0.500), Ge at (0.250, 0.250, 0.500), Br at (0.000, 0.500, 0.000) and Br at (0.250, 0.250, 0.000).